Record 1
Density functional theory data (GGA-PBE) for crystalline ThMn2ZnH8 at its relaxed geometry.

- E_tot: -165.0 eV per cell

```
data_ThMn2ZnH8
_symmetry_space_group_name_H-M 'R -3'
_symmetry_Int_Tables_number 148
_symmetry_space_group_name_Hall '-R 3'
_cell_length_a 4.5212
_cell_length_b 4.5212
_cell_length_c 16.4486
_cell_angle_alpha 90.00
_cell_angle_beta 90.00
_cell_angle_gamma 120.00
loop_
_atom_site_label
_atom_site_fract_x
_atom_site_fract_y
_atom_site_fract_z
Th1 0.0000 0.0000 0.0000
Mn1 0.0000 0.0000 0.1990
Zn1 0.0000 0.0000 0.5000
H1 0.0000 0.0000 0.3005
H2 0.0240 0.7528 0.8815
```


Record 2
Density functional theory data (GGA-PBE) for crystalline Ti2MnH at its relaxed geometry.

- ΔE to the lowest computed polymorph: 0.360 eV per atom
- E_tot: -109.1 eV per cell

```
data_Ti2MnH
_symmetry_space_group_name_H-M 'F m -3 m'
_symmetry_Int_Tables_number 225
_symmetry_space_group_name_Hall '-F 4 2 3'
_cell_length_a 5.787
_cell_length_b 5.787
_cell_length_c 5.787
_cell_angle_alpha 90.00
_cell_angle_beta 90.00
_cell_angle_gamma 90.00
loop_
_atom_site_label
_atom_site_fract_x
_atom_site_fract_y
_atom_site_fract_z
Ti1 0.250 0.250 0.250
Mn1 0.000 0.000 0.000
H1 0.000 0.000 0.500
```


Record 3
Density functional theory data (GGA-PBE) for crystalline TiMnH3 at its relaxed geometry.

- E_tot: -26.7 eV per cell

```
data_TiMnH3
_symmetry_space_group_name_H-M 'P m -3 m'
_symmetry_Int_Tables_number 221
_symmetry_space_group_name_Hall '-P 4 2 3'
_cell_length_a 3.479
_cell_length_b 3.479
_cell_length_c 3.479
_cell_angle_alpha 90.00
_cell_angle_beta 90.00
_cell_angle_gamma 90.00
loop_
_atom_site_label
_atom_site_fract_x
_atom_site_fract_y
_atom_site_fract_z
Ti1 0.000 0.000 0.000
Mn1 0.500 0.500 0.500
H1 0.000 0.000 0.500
```


What did the second record say?
Density functional theory data (GGA-PBE) for crystalline Ti2MnH at its relaxed geometry.

- ΔE to the lowest computed polymorph: 0.360 eV per atom
- E_tot: -109.1 eV per cell

```
data_Ti2MnH
_symmetry_space_group_name_H-M 'F m -3 m'
_symmetry_Int_Tables_number 225
_symmetry_space_group_name_Hall '-F 4 2 3'
_cell_length_a 5.787
_cell_length_b 5.787
_cell_length_c 5.787
_cell_angle_alpha 90.00
_cell_angle_beta 90.00
_cell_angle_gamma 90.00
loop_
_atom_site_label
_atom_site_fract_x
_atom_site_fract_y
_atom_site_fract_z
Ti1 0.250 0.250 0.250
Mn1 0.000 0.000 0.000
H1 0.000 0.000 0.500
```


Q: Which of these has the highest E_tot?
A: TiMnH3


Q: Number 3 is which compound?
A: TiMnH3


What did the second record say?
Density functional theory data (GGA-PBE) for crystalline Ti2MnH at its relaxed geometry.

- ΔE to the lowest computed polymorph: 0.360 eV per atom
- E_tot: -109.1 eV per cell

```
data_Ti2MnH
_symmetry_space_group_name_H-M 'F m -3 m'
_symmetry_Int_Tables_number 225
_symmetry_space_group_name_Hall '-F 4 2 3'
_cell_length_a 5.787
_cell_length_b 5.787
_cell_length_c 5.787
_cell_angle_alpha 90.00
_cell_angle_beta 90.00
_cell_angle_gamma 90.00
loop_
_atom_site_label
_atom_site_fract_x
_atom_site_fract_y
_atom_site_fract_z
Ti1 0.250 0.250 0.250
Mn1 0.000 0.000 0.000
H1 0.000 0.000 0.500
```